DyYPa: optimized geometry, PBE.

Output
- offset from the most stable computed form (meV/atom) = 0
- total DFT energy (no corrections) (eV/atom) = -6.72
- formation energy from the elements (eV per formula unit) = 0.39

Lattice parameters (Å, degrees): 3.431 3.431 8.547 90.00 90.00 120.00
Sites, in units of the cell vectors:
Y (0.333, 0.667, 0.680)
Dy (0.667, 0.333, 0.319)
Pa (0.000, 0.000, 0.001)